# 1
6
Lattice="3.2362 0.8211 0.7534 1.3876 6.4537 2.5598 -1.5058 -1.2450 7.8878" Properties=species:S:1:pos:R:3 comment="PBE TaTeCl, optimized geometry" dft_energy_ev_per_atom=-6.3466 spacegroup="P-1, No. 2" de_polymorph_mev_per_atom=0.0 magnetic_moment_mub_per_cell=0.00 formation_energy_uncorrected_ev_per_atom=-0.73 pbc="T T T"
Cl 2.3484 2.3271 6.8461
Cl 0.7696 3.7026 4.3550
Te 0.1950 0.7567 2.2567
Ta 1.7819 4.9633 6.4089
Te 2.9230 5.2730 8.9444
Ta 1.3361 1.0665 4.7921

---

# 2
5
Lattice="-1.5627 -2.2504 2.0228 2.6890 0.0111 2.0897 -1.6726 2.9992 4.9114" Properties=species:S:1:pos:R:3 comment="PBE Li2TaCr2, optimized geometry" dft_energy_ev_per_atom=-6.1716 formation_energy_mev_per_atom=814 spacegroup="I4/mmm, No. 139" de_polymorph_mev_per_atom=38.7 magnetic_moment_mub_per_cell=0.00 pbc="T T T"
Cr -1.3360 -0.1854 4.4952
Cr 0.7898 0.9453 4.5287
Ta 0.0000 0.0000 0.0000
Li -0.6807 1.0897 6.4201
Li 0.1345 -0.3298 2.6037

---

# 3
3
Lattice="3.4414 0.0000 0.0000 0.0000 3.4414 0.0000 -1.7207 -1.7207 6.1149" Properties=species:S:1:pos:R:3 comment="PBE NdDyH, optimized geometry" dft_energy_ev_per_atom=-4.3619 spacegroup="I4mm, No. 107" de_polymorph_mev_per_atom=94.4 magnetic_moment_mub_per_cell=0.00 pbc="T T T"
Dy 0.0000 0.0000 0.4390
Nd 1.7207 1.7207 3.0139
H 0.0000 0.0000 2.6620

---

# 4
4
Lattice="4.4903 0.0000 0.0000 2.2451 3.8887 0.0000 2.2451 1.2962 3.6663" Properties=species:S:1:pos:R:3 comment="PBE PaBeTcRu, optimized geometry" dft_energy_ev_per_atom=-8.3759 formation_energy_mev_per_atom=-160 spacegroup="F-43m, No. 216" magnetic_moment_mub_per_cell=0.00 pbc="T T T"
Be 4.4903 2.5925 1.8332
Tc 2.2451 1.2962 0.9166
Ru 6.7354 3.8887 2.7497
Pa 0.0000 0.0000 0.0000

---

# 5
4
Lattice="-2.5365 0.4618 1.9255 -0.8354 -2.2620 2.1308 5.6064 4.1850 9.0703" Properties=species:S:1:pos:R:3 comment="PBE Dy2HoRe, optimized geometry" dft_energy_ev_per_atom=-5.7698 formation_energy_mev_per_atom=788 spacegroup="R-3m, No. 166" magnetic_moment_mub_per_cell=0.29 pbc="T T T"
Re 0.0000 0.0000 0.0000
Dy 4.0081 3.0487 7.2374
Ho 1.1173 1.1924 6.5634
Dy -1.7736 -0.6638 5.8893

---

# 6
5
Lattice="4.7262 0.0000 0.0000 0.0000 4.7262 0.0000 0.0000 0.0000 4.8107" Properties=species:S:1:pos:R:3 comment="PBE As2PRhBr, optimized geometry" dft_energy_ev_per_atom=-3.7394 spacegroup="P4/mmm, No. 123" de_polymorph_mev_per_atom=257.8 magnetic_moment_mub_per_cell=0.13 formation_energy_uncorrected_ev_per_atom=1.01 pbc="T T T"
As 2.3631 0.0000 0.0000
As 0.0000 2.3631 0.0000
P 0.0000 0.0000 0.0000
Rh 2.3631 2.3631 2.4053
Br 0.0000 0.0000 2.4053

---

# 7
4
Lattice="-1.9445 -0.6636 -1.8760 2.4824 -2.5910 -1.6565 -1.9427 -4.0690 3.4532" Properties=species:S:1:pos:R:3 comment="PBE MgRe2Pt, optimized geometry" dft_energy_ev_per_atom=-8.1749 formation_energy_mev_per_atom=-42 spacegroup="Pmm2, No. 25" magnetic_moment_mub_per_cell=0.00 pbc="T T T"
Mg -1.0066 -2.1082 1.7891
Pt -1.1485 -4.5963 0.7534
Re -0.0561 -0.1175 0.0998
Re -0.1649 -2.5361 -0.9950

---

# 8
10
Lattice="4.3120 0.0000 0.0000 2.1560 5.5627 -0.1191 2.1560 0.6609 9.5060" Properties=species:S:1:pos:R:3 comment="PBE Pr2ZnSi2, optimized geometry" dft_energy_ev_per_atom=-4.9645 spacegroup="C2/m, No. 12" magnetic_moment_mub_per_cell=0.00 formation_energy_uncorrected_ev_per_atom=-0.63 pbc="T T T"
Pr 4.3120 4.7523 6.0789
Si 2.1560 0.6486 1.0666
Zn 4.3120 4.6019 2.8454
Si 6.4680 5.5749 8.3202
Pr 6.4680 2.3340 8.6585
Pr 4.3120 1.4713 3.3080
Pr 2.1560 3.8896 0.7284
Si 6.4680 3.9315 3.8444
Zn 4.3120 1.6216 6.5415
Si 2.1560 2.2921 5.5425

---

# 9
8
Lattice="3.9504 0.0000 0.0000 0.0000 6.8522 0.1341 0.0000 -2.3808 6.4090" Properties=species:S:1:pos:R:3 comment="PBE PmHo2ZrP4, optimized geometry" dft_energy_ev_per_atom=-7.0325 formation_energy_mev_per_atom=-1521 spacegroup="P2/m, No. 10" magnetic_moment_mub_per_cell=0.00 pbc="T T T"
Zr 0.0000 0.0000 0.0000
Ho 1.9752 -1.1904 3.2045
P 0.0000 4.6238 1.7073
Pm 1.9752 3.4261 0.0670
P 1.9752 1.0455 1.5886
P 0.0000 -0.1524 4.8358
Ho 0.0000 2.2357 3.2715
P 1.9752 3.4259 4.9544

---

# 10
10
Lattice="4.6414 0.0000 -1.4237 -0.9163 6.4445 -2.9872 0.5954 -0.5015 10.2185" Properties=species:S:1:pos:R:3 comment="PBE In3Pb7, optimized geometry" dft_energy_ev_per_atom=-3.4053 formation_energy_mev_per_atom=12 spacegroup="C2/m, No. 12" de_polymorph_mev_per_atom=0.0 magnetic_moment_mub_per_cell=0.00 pbc="T T T"
Pb 3.4231 4.2549 2.8819
Pb 2.2362 0.2373 7.2900
In 0.4294 4.9623 1.3999
In 3.8911 0.9808 4.4077
Pb 2.5423 2.4699 0.0106
Pb 0.8975 1.6881 2.9257
Pb 1.7782 3.4732 5.7970
Pb -0.4581 3.2223 -1.4936
Pb 2.0843 5.7058 -1.4824
In 0.0000 0.0000 0.0000

---

# 11
4
Lattice="4.1383 0.0000 0.0000 0.0000 4.5054 0.0000 0.0000 0.0000 4.5054" Properties=species:S:1:pos:R:3 comment="PBE MgPaGa2, optimized geometry" dft_energy_ev_per_atom=-4.4900 formation_energy_mev_per_atom=-204 spacegroup="P4/mmm, No. 123" magnetic_moment_mub_per_cell=0.00 pbc="T T T"
Ga 0.0000 0.0000 2.2527
Ga 0.0000 2.2527 0.0000
Mg 2.0691 0.0000 0.0000
Pa 2.0691 2.2527 2.2527

---

# 12
10
Lattice="4.7565 0.0000 0.0000 0.0000 4.7565 0.0000 2.3783 2.3783 6.7766" Properties=species:S:1:pos:R:3 comment="PBE HfPbO3, optimized geometry" dft_energy_ev_per_atom=-7.4790 spacegroup="I-4m2, No. 119" magnetic_moment_mub_per_cell=0.41 formation_energy_uncorrected_ev_per_atom=-1.77 pbc="T T T"
Pb 4.7565 2.3783 1.9215
Pb 4.7565 2.3783 4.8551
O 2.3783 3.6373 5.2714
O 3.4975 4.7565 1.5052
O 2.3783 5.8758 5.2714
O 1.2590 4.7565 1.5052
Hf 2.3783 4.7565 3.3883
O 2.3783 2.3783 2.9285
O 4.7565 4.7565 3.8481
Hf 0.0000 0.0000 0.0000

---

# 13
14
Lattice="6.6912 0.0000 0.0000 0.0000 6.6912 0.0000 0.0000 0.0000 6.6912" Properties=species:S:1:pos:R:3 comment="PBE YAl3Ir3, optimized geometry" dft_energy_ev_per_atom=-6.4432 formation_energy_mev_per_atom=-118 spacegroup="Pm-3n, No. 223" magnetic_moment_mub_per_cell=0.00 pbc="T T T"
Ir 1.6728 0.0000 3.3456
Al 0.0000 5.0184 3.3456
Y 3.3456 3.3456 3.3456
Al 3.3456 0.0000 5.0184
Al 1.6728 3.3456 0.0000
Ir 5.0184 0.0000 3.3456
Ir 3.3456 1.6728 0.0000
Al 5.0184 3.3456 0.0000
Y 0.0000 0.0000 0.0000
Ir 3.3456 5.0184 0.0000
Ir 0.0000 3.3456 1.6728
Al 3.3456 0.0000 1.6728
Al 0.0000 1.6728 3.3456
Ir 0.0000 3.3456 5.0184

---

# 14
5
Lattice="5.8245 0.0000 0.0000 0.0000 5.8245 0.0000 0.0000 0.0000 5.7763" Properties=species:S:1:pos:R:3 comment="PBE BaTe2IBr, optimized geometry" dft_energy_ev_per_atom=-2.6739 spacegroup="P4/mmm, No. 123" de_polymorph_mev_per_atom=0.0 magnetic_moment_mub_per_cell=0.00 formation_energy_uncorrected_ev_per_atom=-0.39 pbc="T T T"
Ba 2.9122 2.9122 2.8881
I 0.0000 0.0000 2.8881
Br 0.0000 0.0000 0.0000
Te 0.0000 2.9122 0.0000
Te 2.9122 0.0000 0.0000

---

# 15
4
Lattice="4.3207 0.0000 0.0000 2.1604 3.7418 0.0000 2.1604 1.2473 3.5278" Properties=species:S:1:pos:R:3 comment="PBE GaTcAsRu, optimized geometry" dft_energy_ev_per_atom=-6.9540 formation_energy_mev_per_atom=-124 spacegroup="F-43m, No. 216" magnetic_moment_mub_per_cell=0.00 pbc="T T T"
Tc 2.1604 1.2473 0.8820
As 4.3207 2.4946 1.7639
Ru 6.4811 3.7418 2.6459
Ga 0.0000 0.0000 0.0000

---

# 16
4
Lattice="-0.2001 -1.1588 -4.0819 2.8384 0.2180 -0.2010 2.1171 -5.1743 1.3651" Properties=species:S:1:pos:R:3 comment="PBE ZrAgRu2, optimized geometry" dft_energy_ev_per_atom=-7.3051 formation_energy_mev_per_atom=183 spacegroup="P2/m, No. 10" de_polymorph_mev_per_atom=196.7 magnetic_moment_mub_per_cell=0.00 pbc="T T T"
Zr 1.1388 -1.8185 -1.7499
Ru 2.2236 -2.5089 0.6032
Ru 2.3713 -5.1435 1.3439
Ag 3.6166 -4.2966 -1.1679

---

# 17
6
Lattice="0.0000 3.9345 3.9345 3.9345 0.0000 3.9345 3.9345 3.9345 0.0000" Properties=species:S:1:pos:R:3 comment="PBE SbAu5, optimized geometry" dft_energy_ev_per_atom=-3.2704 spacegroup="F-43m, No. 216" magnetic_moment_mub_per_cell=0.00 formation_energy_uncorrected_ev_per_atom=0.15 pbc="T T T"
Au 1.9673 1.9673 1.9673
Au 4.9156 4.9156 4.9156
Au 2.9535 2.9535 4.9156
Au 4.9156 2.9535 2.9535
Sb 0.0000 0.0000 0.0000
Au 2.9535 4.9156 2.9535

---

# 18
5
Lattice="3.8218 0.0000 0.0000 0.0000 4.1687 0.0000 0.0000 0.0000 3.8218" Properties=species:S:1:pos:R:3 comment="PBE NaTiNiC2, optimized geometry" dft_energy_ev_per_atom=-5.0804 formation_energy_mev_per_atom=1608 spacegroup="P4/mmm, No. 123" magnetic_moment_mub_per_cell=0.00 pbc="T T T"
C 1.9109 0.0000 0.0000
Ti 1.9109 2.0843 1.9109
Na 0.0000 2.0843 0.0000
C 0.0000 0.0000 1.9109
Ni 0.0000 0.0000 0.0000

---

# 19
6
Lattice="3.2176 -4.2904 0.6412 2.9145 -0.5391 4.5151 -1.2771 -3.8195 3.5988" Properties=species:S:1:pos:R:3 comment="PBE SrMo4Pt, optimized geometry" dft_energy_ev_per_atom=-7.9722 formation_energy_mev_per_atom=536 spacegroup="F-43m, No. 216" magnetic_moment_mub_per_cell=0.00 pbc="T T T"
Mo 3.4415 -5.4014 3.5944
Pt 3.6412 -6.4867 6.5663
Mo 3.2881 -3.5031 5.5548
Mo 1.8133 -3.2303 3.2700
Mo 1.1670 -5.1631 5.0911
Sr 0.0000 0.0000 0.0000

---

# 20
9
Lattice="-1.2917 -4.5159 4.5015 -2.0226 -5.9124 -1.8105 3.9370 -5.1345 0.6801" Properties=species:S:1:pos:R:3 comment="PBE Cs2RuF6, optimized geometry" dft_energy_ev_per_atom=-4.8158 spacegroup="Fm-3m, No. 225" magnetic_moment_mub_per_cell=2.00 formation_energy_uncorrected_ev_per_atom=-2.35 pbc="T T T"
F -1.7708 -9.3015 2.2629
F 1.2319 -9.6567 0.0684
F -1.0290 -6.7081 -0.3221
Cs 0.4670 -11.6721 2.5283
F 1.6517 -8.8547 3.6932
Ru 0.0000 0.0000 0.0000
Cs 0.1557 -3.8907 0.8428
F 2.3934 -6.2614 1.1081
F -0.6092 -5.9062 3.3026

---

# 21
5
Lattice="-4.0617 0.9876 -1.8924 -3.1889 -1.8339 -2.7426 -4.3787 -1.3704 0.0530" Properties=species:S:1:pos:R:3 comment="PBE Be3C2, optimized geometry" dft_energy_ev_per_atom=-5.4110 formation_energy_mev_per_atom=514 spacegroup="R-3m, No. 166" de_polymorph_mev_per_atom=86.5 magnetic_moment_mub_per_cell=0.00 pbc="T T T"
Be 0.0000 0.0000 0.0000
Be -8.9002 -1.6965 -3.5068
Be -2.7290 -0.5202 -1.0752
C -4.9837 -0.9500 -1.9636
C -6.6455 -1.2667 -2.6184

---

# 22
8
Lattice="-0.7560 -3.2327 3.6357 4.3066 -2.1561 -1.0216 4.3940 5.8772 6.1350" Properties=species:S:1:pos:R:3 comment="PBE Ac2SbO, optimized geometry" dft_energy_ev_per_atom=-6.2833 spacegroup="C2/m, No. 12" de_polymorph_mev_per_atom=0.0 magnetic_moment_mub_per_cell=0.00 formation_energy_uncorrected_ev_per_atom=-1.96 pbc="T T T"
Ac 2.7067 -0.0249 5.5388
O 5.2240 -0.6177 5.5358
Ac 5.2379 0.5133 3.2102
Sb 4.3521 3.2829 5.4897
O 2.7207 1.1060 3.2131
Sb 3.5925 -2.7946 3.2593
Ac 6.3916 0.9425 7.1658
Ac 1.5530 -0.4541 1.5832

---

Number 1: calculated density 6.8 g cm⁻³. Number 2: calculated density 7.8 g cm⁻³. Number 3: calculated density 7.1 g cm⁻³. Number 4: calculated density 11.4 g cm⁻³. Number 5: calculated density 11.1 g cm⁻³. Number 6: calculated density 5.6 g cm⁻³. Number 7: calculated density 15.7 g cm⁻³. Number 8: calculated density 5.9 g cm⁻³. Number 9: calculated density 6.6 g cm⁻³. Number 10: calculated density 9.8 g cm⁻³. Number 11: calculated density 7.8 g cm⁻³. Number 12: calculated density 9.4 g cm⁻³. Number 13: calculated density 8.3 g cm⁻³. Number 14: calculated density 5.1 g cm⁻³. Number 15: calculated density 10.0 g cm⁻³. Number 16: calculated density 9.9 g cm⁻³. Number 17: calculated density 15.1 g cm⁻³. Number 18: calculated density 4.2 g cm⁻³. Number 19: calculated density 9.9 g cm⁻³. Number 20: calculated density 4.1 g cm⁻³. Number 21: calculated density 2.4 g cm⁻³. Number 22: calculated density 8.5 g cm⁻³.